Record 1
Below is a relaxed structure of Sm2HoHg, with properties calculated at the PBE level.

POSCAR file:
```
Sm2HoHg
1.0
-2.725 0.864 2.260
0.552 0.005 3.602
2.176 10.633 1.495
Sm Ho Hg
2 1 1
direct
0.744 0.744 0.768
0.256 0.256 0.232
0.500 0.500 0.500
0.000 0.000 0.000
```

Values from the calculation:
As for the space-group type: R-3m, No. 166. For the total magnetization, the calculation gives 0.000 Bohr magnetons per cell. As for the calculated formation energy: -0.139 eV/atom. Its energy above the most stable polymorph in this dataset is 0.088 eV per atom.

Record 2
Below is a relaxed structure of Pm3Al4Cu2, with properties calculated at the PBE level.

POSCAR file:
```
Pm3Al4Cu2
1.0
4.489 0.000 0.000
-2.244 5.340 -0.010
0.000 -2.191 8.240
Al Pm Cu
4 3 2
direct
0.722 0.443 0.074
0.278 0.557 0.926
0.897 0.795 0.580
0.103 0.205 0.420
0.627 0.254 0.690
0.373 0.746 0.310
0.000 0.000 0.000
0.330 0.659 0.660
0.670 0.341 0.340
```

Values from the calculation:
As for the space-group type: C2/m, No. 12. For the total magnetization, the calculation gives 0.000 Bohr magnetons per cell. As for the calculated formation energy: -0.380 eV/atom. Its energy above the most stable polymorph in this dataset is 0.025 eV per atom.

Record 3
Below is a relaxed structure of Cs2OsBrCl6, with properties calculated at the PBE level.

POSCAR file:
```
Cs2OsBrCl6
1.0
-6.738 -0.300 -1.100
1.028 -8.697 -3.931
-1.403 -4.621 9.856
Os Cl Cs Br
2 12 4 2
direct
0.500 0.153 0.500
0.000 0.847 0.000
0.500 0.150 0.712
0.500 0.150 0.288
0.000 0.850 0.212
0.741 0.981 0.500
0.759 0.019 0.000
0.762 0.673 0.000
0.241 0.019 0.000
0.238 0.673 0.000
0.000 0.850 0.788
0.738 0.327 0.500
0.262 0.327 0.500
0.259 0.981 0.500
0.000 0.263 0.215
0.500 0.737 0.285
0.500 0.737 0.715
0.000 0.263 0.785
0.500 0.357 0.000
0.000 0.643 0.500
```

Values from the calculation:
The calculation puts the uncorrected formation energy at -10.09 eV/f.u. As for the space-group type: Pmmn, No. 59. For the total magnetization, the calculation gives 6.140 Bohr magnetons per cell. Its energy above the most stable polymorph in this dataset is 0.000 eV per atom.

Record 4
Below is a relaxed structure of Nb3SnPd, with properties calculated at the PBE level.

POSCAR file:
```
Nb3SnPd
1.0
4.862 0.000 0.000
0.000 4.862 0.000
0.000 0.000 4.862
Sn Nb Pd
1 3 1
direct
0.500 0.500 0.500
0.500 0.000 0.000
0.000 0.500 0.000
0.000 0.000 0.500
0.000 0.000 0.000
```

Values from the calculation:
As for the space-group type: Pm-3m, No. 221. For the total magnetization, the calculation gives 0.000 Bohr magnetons per cell. As for the calculated formation energy: 0.984 eV/atom. Its energy above the most stable polymorph in this dataset is 0.000 eV per atom.